[1]
Ti2GaCo2 after structural relaxation, computed with GGA-PBEsol.

Cell lengths 6.693, 6.693, 2.928 Å; angles 90.00, 90.00, 90.00 degrees
Space group P4/mbm (No. 127)
One atom of each set of equivalent atoms:
Ti1 0.169 0.331 0.000 (multiplicity 4)
Ga1 0.000 0.000 0.500 (multiplicity 2)
Co1 0.131 0.631 0.500 (multiplicity 4)

- E_form (meV/atom) = -441

***

[2]
Y2TiGaCo after structural relaxation, computed with GGA-PBEsol.

Cell lengths 5.344, 5.344, 4.243 Å; angles 90.00, 90.00, 90.00 degrees
Space group P4/mmm (No. 123)
One atom of each set of equivalent atoms:
Y1 0.000 0.500 0.000 (multiplicity 2)
Ti1 0.000 0.000 0.500 (multiplicity 1)
Ga1 0.500 0.500 0.000 (multiplicity 1)
Co1 0.500 0.500 0.500 (multiplicity 1)

- E_form (meV/atom) = 532

***

[3]
TlGa2Co2 after structural relaxation, computed with GGA-PBEsol.

Cell lengths 3.587, 3.587, 11.399 Å; angles 90.00, 90.00, 90.00 degrees
Space group I4/mmm (No. 139)
One atom of each set of equivalent atoms:
Tl1 0.000 0.000 0.000 (multiplicity 2)
Ga1 0.000 0.500 0.250 (multiplicity 4)
Co1 0.000 0.000 0.396 (multiplicity 4)

- E_form (meV/atom) = 64

***

[4]
Tm2GaCo2 after structural relaxation, computed with GGA-PBEsol.

Cell lengths 3.961, 5.290, 8.028 Å; angles 90.00, 90.00, 90.00 degrees
Space group Immm (No. 71)
One atom of each set of equivalent atoms:
Tm1 0.000 0.000 0.206 (multiplicity 4)
Ga1 0.000 0.500 0.000 (multiplicity 2)
Co1 0.000 0.282 0.500 (multiplicity 4)

- E_form (meV/atom) = -479

***

[5]
TmGa5Co after structural relaxation, computed with GGA-PBEsol.

Cell lengths 4.128, 4.128, 6.665 Å; angles 90.00, 90.00, 90.00 degrees
Space group P4/mmm (No. 123)
One atom of each set of equivalent atoms:
Tm1 0.000 0.000 0.000 (multiplicity 1)
Ga1 0.000 0.500 0.309 (multiplicity 4)
Ga2 0.500 0.500 0.000 (multiplicity 1)
Co1 0.000 0.000 0.500 (multiplicity 1)

- E_form (meV/atom) = -514

***

[6]
UGa5Co after structural relaxation, computed with GGA-PBEsol.

Cell lengths 4.172, 4.172, 6.586 Å; angles 90.00, 90.00, 90.00 degrees
Space group P4/mmm (No. 123)
One atom of each set of equivalent atoms:
U1 0.000 0.000 0.000 (multiplicity 1)
Ga1 0.000 0.500 0.306 (multiplicity 4)
Ga2 0.500 0.500 0.000 (multiplicity 1)
Co1 0.000 0.000 0.500 (multiplicity 1)

- E_form (meV/atom) = -343

***

[7]
Y4GaCo4 after structural relaxation, computed with GGA-PBEsol.

Cell lengths 10.007, 4.003, 8.738 Å; angles 90.00, 110.60, 90.00 degrees
Space group C2/m (No. 12)
One atom of each set of equivalent atoms:
Y1 0.109 0.000 0.385 (multiplicity 4)
Y2 0.246 0.000 0.839 (multiplicity 4)
Ga1 0.000 0.000 0.000 (multiplicity 2)
Co1 0.038 0.500 0.855 (multiplicity 4)
Co2 0.091 0.500 0.620 (multiplicity 4)

- E_form (meV/atom) = -326

***

[8]
Y2Ga8Co after structural relaxation, computed with GGA-PBEsol.

Cell lengths 4.165, 4.165, 10.963 Å; angles 90.00, 90.00, 90.00 degrees
Space group P4/mmm (No. 123)
One atom of each set of equivalent atoms:
Y1 0.000 0.000 0.194 (multiplicity 2)
Ga1 0.000 0.500 0.000 (multiplicity 2)
Ga2 0.000 0.500 0.384 (multiplicity 4)
Ga3 0.500 0.500 0.195 (multiplicity 2)
Co1 0.000 0.000 0.500 (multiplicity 1)

- E_form (meV/atom) = -545

***

no.,density of states at the Fermi level (states/eV per cell)
1,8.8
2,8.2
3,7.6
4,8.4
5,1.9
6,3.3
7,18.0
8,3.6